Tb3In3Cu2Pd: optimized geometry, PBE.

Its mass density is 8.95 g/cm3. For the total magnetization, the calculation gives 0.00 μB/cell.

The structure belongs to space group P-62m (No. 189); the cell edges are 7.5461, 7.5461 and 3.9670 Å and the angles 90.00°, 90.00° and 120.00°. The inequivalent atoms are Tb at (0.0000, 0.5908, 0.0000), In at (0.0000, 0.2602, 0.5000), Cu at (0.3333, 0.6667, 0.5000) and Pd at (0.0000, 0.0000, 0.0000).

TaAl2Zn: optimized geometry, PBE.

Its mass density is 7.67 g/cm3. For the total magnetization, the calculation gives 3.10 μB/cell.

The structure belongs to space group F-43m (No. 216); the cell edges are 6.382, 6.382 and 6.382 Å and the angles 90.00°, 90.00° and 90.00°. The inequivalent atoms are Ta at (0.000, 0.000, 0.000), Al at (0.000, 0.000, 0.500), Al at (0.250, 0.250, 0.750) and Zn at (0.250, 0.250, 0.250).

SiMo2: optimized geometry, PBE.

Its mass density is 7.45 g/cm3. For the total magnetization, the calculation gives 0.02 μB/cell. The energy above the most stable polymorph in this dataset is 0.0 kJ/mol of atoms.

The structure belongs to space group Fd-3m (No. 227, origin choice 2); the cell edges are 7.319, 7.319 and 7.319 Å and the angles 90.00°, 90.00° and 90.00°. The inequivalent atoms are Si at (0.125, 0.125, 0.125) and Mo at (0.000, 0.000, 0.500).

SmTmGa2: optimized geometry, PBE.

Its mass density is 7.86 g/cm3. For the total magnetization, the calculation gives 0.07 μB/cell.

The structure belongs to space group Amm2 (No. 38); the cell edges are 4.066, 4.367 and 10.914 Å and the angles 90.00°, 90.00° and 90.00°. The inequivalent atoms are Sm at (0.000, 0.000, 0.000), Tm at (0.500, 0.000, 0.279), Ga at (0.000, 0.000, 0.718) and Ga at (0.500, 0.000, 0.565).

LiNbInIr: optimized geometry, PBE.

Its mass density is 10.34 g/cm3. For the total magnetization, the calculation gives 1.21 μB/cell. The energy above the most stable polymorph in this dataset is 56.5 kJ/mol of atoms.

The structure belongs to space group F-43m (No. 216); the cell edges are 6.393, 6.393 and 6.393 Å and the angles 90.00°, 90.00° and 90.00°. The inequivalent atoms are Li at (0.000, 0.000, 0.000), Nb at (0.250, 0.250, 0.250), In at (0.000, 0.000, 0.500) and Ir at (0.250, 0.250, 0.750).

DyHgW: optimized geometry, PBE.

Its mass density is 11.30 g/cm3. The calculation puts the energy of formation at 1.345 eV/atom. For the total magnetization, the calculation gives 11.97 μB/cell.

The structure belongs to space group F-43m (No. 216); the cell edges are 6.850, 6.850 and 6.850 Å and the angles 90.00°, 90.00° and 90.00°. The inequivalent atoms are Dy at (0.000, 0.000, 0.000), Hg at (0.250, 0.250, 0.750) and W at (0.250, 0.250, 0.250).

no.,calculated total energy (Ry/atom)
1,-0.323
2,-0.358
3,-0.624
4,-0.325
5,-0.421
6,-0.339